{"formula": "Hf3Zn3Fe2", "functional": "PBE-GGA", "state": "optimized geometry", "mass_density_g_cm3": 10.649, "e_form_kj_per_mol_fu": -160, "cell": [[3.192, 0.000, 0.000], [0.000, 5.974, -3.449], [0.000, 0.000, 6.898]], "species": ["Hf", "Hf", "Hf", "Zn", "Zn", "Zn", "Fe", "Fe"], "frac_coords": [[0.500, 0.425, 0.425], [0.500, 0.575, 0.000], [0.500, 0.000, 0.575], [0.000, 0.773, 0.773], [0.000, 0.227, 0.000], [0.000, 0.000, 0.227], [0.000, 0.333, 0.667], [0.000, 0.667, 0.333]]}